Computed, not measured: an optimized crystal structure of V2ZnF at the PBE+U level of DFT.

Geometry as extended XYZ:
```
8
Lattice="-2.431 2.431 6.765 2.431 -2.431 6.765 2.431 2.431 -6.765" Properties=species:S:1:pos:R:3 pbc="T T T"
V 3.647 0.690 -1.691
V 0.690 1.216 1.691
V -1.216 1.741 5.074
V 1.741 1.216 8.457
Zn 2.431 0.000 3.383
Zn 0.000 0.000 6.765
F 0.000 0.000 0.000
F 0.000 2.431 3.383
```

Results
E (eV per atom): -4.238
Offset from the most stable computed form (meV per atom): 0